No. 1
LaCeSmS3: relaxed, PBE.

As for the formation energy without anion corrections: -1.952 eV per atom.

Cell and atoms, written as POSCAR:
```
LaCeSmS3
1.0
3.9672 0.0000 0.0000
0.0000 7.0378 0.2531
0.0000 -2.6713 10.2877
La Ce Sm S
2 2 2 6
direct
0.7500 0.6486 0.6947
0.2500 0.3514 0.3053
0.2500 0.1246 0.6318
0.7500 0.8754 0.3682
0.2500 0.7652 0.0542
0.7500 0.2348 0.9458
0.2500 0.7213 0.5050
0.7500 0.0536 0.1565
0.7500 0.5481 0.1604
0.7500 0.2787 0.4950
0.2500 0.4519 0.8396
0.2500 0.9464 0.8435
```

No. 2
NaCa2O: relaxed, PBE.

As for the formation energy without anion corrections: -1.294 eV per atom.

Cell and atoms, written as POSCAR:
```
NaCa2O
1.0
3.5645 0.0000 0.0000
1.7823 3.0870 0.0000
1.7823 1.0290 9.2251
Na Ca O
1 2 1
direct
0.5000 0.5000 0.5000
0.2835 0.2835 0.1494
0.7165 0.7165 0.8506
0.0000 0.0000 0.0000
```

No. 3
AcTb2Ni9: relaxed, PBE.

As for the formation enthalpy at 0 K: -0.342 eV/atom.

Cell and atoms, written as POSCAR:
```
AcTb2Ni9
1.0
4.8540 0.0000 1.4446
2.2120 4.3207 1.4446
0.0622 0.0380 8.6682
Ac Tb Ni
1 2 9
direct
0.0000 0.0000 0.0000
0.8592 0.8592 0.4223
0.1408 0.1408 0.5777
0.6675 0.6675 0.9974
0.3325 0.3325 0.0026
0.5000 0.5000 0.5000
0.4157 0.4157 0.2521
0.9166 0.4157 0.2521
0.4157 0.9166 0.2521
0.5843 0.5843 0.7479
0.5843 0.0834 0.7479
0.0834 0.5843 0.7479
```

No. 4
MgVRh: relaxed, PBE.

As for the formation enthalpy at 0 K: -0.193 eV/atom. Its distance to the lowest polymorph of the same formula is 0.49 eV/f.u.

Cell and atoms, written as POSCAR:
```
MgVRh
1.0
-1.8844 0.3956 -2.3493
-1.7787 -2.2263 1.0519
-0.7619 4.2344 3.2878
Mg Rh V
1 1 1
direct
0.6129 0.6129 0.2259
0.9358 0.9358 0.8715
0.3013 0.3013 0.6026
```

No. 5
K2Li2US4: relaxed, PBE.

As for the formation energy without anion corrections: -1.384 eV per atom.

Cell and atoms, written as POSCAR:
```
K2Li2US4
1.0
4.0787 0.0000 0.0000
0.0000 7.5117 0.2272
-2.0394 -2.7742 6.8593
K Li U S
2 2 1 4
direct
0.1381 0.5624 0.2762
0.8619 0.4376 0.7238
0.6823 0.9876 0.3645
0.3177 0.0124 0.6355
0.0000 0.0000 0.0000
0.1945 0.1677 0.3890
0.8055 0.8323 0.6110
0.5168 0.7708 0.0336
0.4832 0.2292 0.9664
```

Which M_tot belongs to each record? In order, 2.51 0.52 0.03 0.00 2.00 μB per cell.